Record 1
VASP calculation (GGA-PBE) on a geometry-optimized Ta2CrMo structure.

Cell: 8.850 8.850 8.850 Å, 19.26 19.26 19.26°
Positions (direct):
1 Cr 0.496 0.496 0.496
2 Mo 0.758 0.758 0.758
3 Ta 0.003 0.003 0.003
4 Ta 0.243 0.243 0.243

Calculated values
E in eV per atom: -10.76
SG: R3m (160)
E_form in meV/atom: 284
Crystal system: trigonal

Record 2
VASP calculation (GGA-PBE) on a geometry-optimized SmYHo2Er2 structure.

Cell: 3.373 6.593 17.534 Å, 90.00 90.00 90.00°
Positions (direct):
1 Sm 0.500 0.500 0.000
2 Sm 0.000 0.000 0.500
3 Y 0.000 0.000 0.000
4 Y 0.500 0.500 0.500
5 Ho 0.500 0.767 0.350
6 Ho 0.500 0.233 0.650
7 Ho 0.000 0.733 0.850
8 Ho 0.000 0.267 0.150
9 Er 0.500 0.266 0.319
10 Er 0.000 0.766 0.181
11 Er 0.500 0.734 0.681
12 Er 0.000 0.234 0.819

Calculated values
E in eV per atom: -4.63
SG: Pnnm (58)
E_form in meV/atom: 281
Crystal system: orthorhombic

Record 3
VASP calculation (GGA-PBE) on a geometry-optimized ReSi2Pt structure.

Cell: 3.078 3.078 5.827 Å, 90.00 90.00 90.00°
Positions (direct):
1 Pt 0.500 0.500 0.250
2 Re 0.500 0.500 0.750
3 Si 0.000 0.000 0.984
4 Si 0.000 0.000 0.516

Calculated values
E in eV per atom: -7.61
SG: P4/mmm (123)
Crystal system: tetragonal
Formation energy from raw total energies in meV/atom: -280

Record 4
VASP calculation (GGA-PBE) on a geometry-optimized ScTl2 structure.

Cell: 5.823 5.823 6.418 Å, 74.63 74.63 46.03°
Positions (direct):
1 Sc 0.013 0.013 0.963
2 Sc 0.709 0.709 0.593
3 Tl 0.361 0.361 0.278
4 Tl 0.361 0.361 0.778
5 Tl 0.037 0.037 0.463
6 Tl 0.685 0.685 0.093

Calculated values
E in eV per atom: -3.80
SG: C2/m (12)
E_form in meV/atom: -111
Crystal system: monoclinic

Record 5
VASP calculation (GGA-PBE) on a geometry-optimized AgWAu2 structure.

Cell: 2.761 4.256 5.903 Å, 90.00 90.00 90.00°
Positions (direct):
1 Au 0.000 0.000 0.989
2 Au 0.500 0.500 0.274
3 Ag 0.500 0.500 0.751
4 W 0.000 0.000 0.486

Calculated values
E in eV per atom: -5.16
SG: Pmm2 (25)
E_form in meV/atom: 426
Crystal system: orthorhombic

Record 6
VASP calculation (GGA-PBE) on a geometry-optimized NaMgCd2Sn structure.

Cell: 3.737 4.885 7.544 Å, 108.89 104.34 90.00°
Positions (direct):
1 Na 0.441 0.441 0.882
2 Mg 0.168 0.668 0.336
3 Cd 0.715 0.215 0.431
4 Cd 0.048 0.048 0.095
5 Sn 0.840 0.840 0.680

Calculated values
E in eV per atom: -1.85
SG: Imm2 (44)
E_form in meV/atom: -105
Crystal system: orthorhombic

Record 7
VASP calculation (GGA-PBE) on a geometry-optimized Tb4Dy2Er5 structure.

Cell: 3.625 9.829 12.579 Å, 123.87 81.73 111.65°
Positions (direct):
1 Tb 0.754 0.426 0.344
2 Tb 0.325 0.352 0.055
3 Tb 0.246 0.574 0.656
4 Tb 0.675 0.648 0.945
5 Dy 0.890 0.275 0.770
6 Dy 0.110 0.725 0.230
7 Er 0.923 0.041 0.237
8 Er 0.077 0.959 0.763
9 Er 0.579 0.829 0.499
10 Er 0.500 0.000 0.000
11 Er 0.421 0.171 0.501

Calculated values
E in eV per atom: -4.54
SG: C2/m (12)
E_form in meV/atom: 58
Crystal system: monoclinic

Record 8
VASP calculation (GGA-PBE) on a geometry-optimized FeNiHg2 structure.

Cell: 4.608 4.608 5.318 Å, 79.63 79.63 37.67°
Each line ends with the local moment (μB).
Positions (direct):
1 Fe 0.750 0.750 0.750  2.85
2 Hg 0.997 0.997 0.004  -0.03
3 Hg 0.503 0.503 0.496  -0.03
4 Ni 0.250 0.250 0.250  0.21

Calculated values
E in eV per atom: -3.26
SG: C2/m (12)
E_form in meV/atom: 455
Crystal system: monoclinic

Record 9
VASP calculation (GGA-PBE) on a geometry-optimized TmCdInS4 structure.

Cell: 7.837 7.868 7.868 Å, 59.76 60.13 60.13°
Positions (direct):
1 Tm 0.000 0.000 0.000
2 Tm 0.000 0.500 0.500
3 Cd 0.624 0.626 0.126
4 Cd 0.376 0.374 0.874
5 In 0.500 0.000 0.500
6 In 0.000 0.000 0.500
7 S 0.757 0.764 0.722
8 S 0.243 0.778 0.736
9 S 0.757 0.222 0.264
10 S 0.243 0.236 0.278
11 S 0.225 0.760 0.260
12 S 0.756 0.760 0.260
13 S 0.244 0.240 0.740
14 S 0.775 0.240 0.740

Calculated values
E in eV per atom: -4.63
SG: Imma (74)
Crystal system: orthorhombic
Formation energy from raw total energies in meV/atom: -1114

Record 10
VASP calculation (GGA-PBE) on a geometry-optimized AlCuHg2 structure.

Cell: 3.531 3.531 6.006 Å, 90.00 90.00 90.00°
Positions (direct):
1 Hg 0.000 0.000 0.992
2 Hg 0.000 0.000 0.508
3 Cu 0.500 0.500 0.750
4 Al 0.500 0.500 0.250

Calculated values
E in eV per atom: -1.90
SG: P4/mmm (123)
E_form in meV/atom: 213
Crystal system: tetragonal

Record 11
VASP calculation (GGA-PBE) on a geometry-optimized GdZrNi4 structure.

Cell: 5.016 5.016 5.016 Å, 60.00 60.00 60.00°
Each line ends with the local moment (μB).
Positions (direct):
1 Ni 0.625 0.625 0.126  0.00
2 Ni 0.625 0.126 0.625  0.00
3 Ni 0.625 0.625 0.625  0.00
4 Ni 0.126 0.625 0.625  0.00
5 Gd 0.000 0.000 0.000  7.01
6 Zr 0.250 0.250 0.250  0.05

Calculated values
E in eV per atom: -7.99
SG: F-43m (216)
E_form in meV/atom: -366
Crystal system: cubic

- Which of these has the lowest E?
  Ta2CrMo

- Look up the E of the second one.
  -4.63 eV per atom

- E of number 9 (TmCdInS4)?
  -4.63 eV per atom

Please write out number 10 again, unchanged.
VASP calculation (GGA-PBE) on a geometry-optimized AlCuHg2 structure.

Cell: 3.531 3.531 6.006 Å, 90.00 90.00 90.00°
Positions (direct):
1 Hg 0.000 0.000 0.992
2 Hg 0.000 0.000 0.508
3 Cu 0.500 0.500 0.750
4 Al 0.500 0.500 0.250

Calculated values
E in eV per atom: -1.90
SG: P4/mmm (123)
E_form in meV/atom: 213
Crystal system: tetragonal